(1)
## SbAsIrO (PBE-GGA)

Data for an optimized crystal structure of SbAsIrO.

ΔE to the lowest computed polymorph	337	meV/atom

Unit cell a=4.449 b=5.925 c=5.632 alpha=90.00 beta=90.00 gamma=90.00
Fractional coordinates of all 8 atoms:
As  0.000  0.722  0.468
As  0.000  0.278  0.968
Ir  0.500  0.464  0.023
Ir  0.500  0.536  0.523
O  0.500  0.246  0.306
O  0.500  0.754  0.806
Sb  0.000  0.225  0.457
Sb  0.000  0.775  0.957

---

(2)
## TaAsIrO (PBE-GGA)

Data for an optimized crystal structure of TaAsIrO.

ΔE to the lowest computed polymorph	816	meV/atom

Unit cell a=4.233 b=4.233 c=6.227 alpha=90.00 beta=90.00 gamma=90.00
Fractional coordinates of all 8 atoms:
As  0.750  0.750  0.267
As  0.250  0.250  0.733
Ir  0.250  0.250  0.139
Ir  0.750  0.750  0.861
O  0.750  0.250  0.000
O  0.250  0.750  0.000
Ta  0.750  0.250  0.500
Ta  0.250  0.750  0.500

---

(3)
## TaAsIrO (PBE-GGA)

Data for an optimized crystal structure of TaAsIrO.

ΔE to the lowest computed polymorph	601	meV/atom

Unit cell a=4.753 b=4.753 c=5.022 alpha=90.00 beta=90.00 gamma=90.00
Fractional coordinates of all 8 atoms:
As  0.000  0.500  0.255
As  0.500  0.000  0.745
Ir  0.500  0.000  0.238
Ir  0.000  0.500  0.762
O  0.000  0.000  0.000
O  0.500  0.500  0.000
Ta  0.000  0.000  0.500
Ta  0.500  0.500  0.500

---

(4)
## TaAsIrO (PBE-GGA)

Data for an optimized crystal structure of TaAsIrO.

ΔE to the lowest computed polymorph	206	meV/atom

Unit cell a=3.988 b=5.662 c=5.689 alpha=90.00 beta=90.00 gamma=90.00
Fractional coordinates of all 8 atoms:
As  0.000  0.779  0.353
As  0.000  0.221  0.853
Ir  0.000  0.229  0.388
Ir  0.000  0.771  0.888
O  0.500  0.271  0.425
O  0.500  0.729  0.925
Ta  0.500  0.410  0.089
Ta  0.500  0.590  0.589

---

(5)
## TaAsIrO (PBE-GGA)

Data for an optimized crystal structure of TaAsIrO.

ΔE to the lowest computed polymorph	9	meV/atom

Unit cell a=3.719 b=6.382 c=5.246 alpha=90.00 beta=90.00 gamma=90.00
Fractional coordinates of all 8 atoms:
As  0.000  0.819  0.400
As  0.000  0.181  0.900
Ir  0.500  0.400  0.063
Ir  0.500  0.600  0.563
O  0.500  0.164  0.367
O  0.500  0.836  0.867
Ta  0.000  0.277  0.424
Ta  0.000  0.723  0.924

---

(6)
## TaAsIrO (PBE-GGA)

Data for an optimized crystal structure of TaAsIrO.

ΔE to the lowest computed polymorph	0	meV/atom

Unit cell a=3.963 b=3.963 c=6.852 alpha=90.00 beta=90.00 gamma=90.00
Fractional coordinates of all 8 atoms:
As  0.000  0.500  0.275
As  0.500  0.000  0.725
Ir  0.000  0.000  0.500
Ir  0.500  0.500  0.500
O  0.000  0.000  0.000
O  0.500  0.500  0.000
Ta  0.500  0.000  0.152
Ta  0.000  0.500  0.848

---

(7)
## TbAsIrO (PBE-GGA)

Data for an optimized crystal structure of TbAsIrO.

ΔE to the lowest computed polymorph	0	meV/atom

Unit cell a=4.036 b=4.036 c=8.122 alpha=90.00 beta=90.00 gamma=90.00
Fractional coordinates of all 8 atoms:
As  0.000  0.500  0.324
As  0.500  0.000  0.676
Ir  0.000  0.000  0.500
Ir  0.500  0.500  0.500
O  0.000  0.000  0.000
O  0.500  0.500  0.000
Tb  0.500  0.000  0.132
Tb  0.000  0.500  0.868

---

(8)
## TbAsIrO (PBE-GGA)

Data for an optimized crystal structure of TbAsIrO.

ΔE to the lowest computed polymorph	551	meV/atom

Unit cell a=4.506 b=4.187 c=7.113 alpha=90.00 beta=90.00 gamma=90.00
Fractional coordinates of all 8 atoms:
As  0.000  0.768  0.275
As  0.000  0.232  0.775
Ir  0.000  0.272  0.439
Ir  0.000  0.728  0.939
O  0.500  0.262  0.437
O  0.500  0.738  0.937
Tb  0.500  0.242  0.103
Tb  0.500  0.758  0.603

---

(9)
## TbAsIrO (PBE-GGA)

Data for an optimized crystal structure of TbAsIrO.

ΔE to the lowest computed polymorph	1643	meV/atom

Unit cell a=4.544 b=4.544 c=6.894 alpha=90.00 beta=90.00 gamma=90.00
Fractional coordinates of all 8 atoms:
As  0.000  0.500  0.085
As  0.500  0.000  0.915
Ir  0.500  0.000  0.273
Ir  0.000  0.500  0.727
O  0.000  0.000  0.000
O  0.500  0.500  0.000
Tb  0.000  0.000  0.500
Tb  0.500  0.500  0.500

---

(10)
## TbAsIrO (PBE-GGA)

Data for an optimized crystal structure of TbAsIrO.

ΔE to the lowest computed polymorph	609	meV/atom

Unit cell a=3.375 b=7.940 c=5.377 alpha=90.00 beta=90.00 gamma=90.00
Fractional coordinates of all 8 atoms:
As  0.000  0.926  0.469
As  0.000  0.074  0.969
Ir  0.500  0.711  0.451
Ir  0.500  0.289  0.951
O  0.500  0.455  0.367
O  0.500  0.545  0.867
Tb  0.000  0.301  0.467
Tb  0.000  0.699  0.967

---

(11)
## TlAsIrO (PBE-GGA)

Data for an optimized crystal structure of TlAsIrO.

ΔE to the lowest computed polymorph	42	meV/atom

Unit cell a=4.077 b=4.077 c=9.063 alpha=90.00 beta=90.00 gamma=90.00
Fractional coordinates of all 8 atoms:
As  0.750  0.750  0.344
As  0.250  0.250  0.656
Ir  0.750  0.250  0.500
Ir  0.250  0.750  0.500
O  0.750  0.250  0.000
O  0.250  0.750  0.000
Tl  0.250  0.250  0.120
Tl  0.750  0.750  0.880

---

(12)
## TlAsIrO (PBE-GGA)

Data for an optimized crystal structure of TlAsIrO.

ΔE to the lowest computed polymorph	179	meV/atom

Unit cell a=3.767 b=7.704 c=6.093 alpha=90.00 beta=90.00 gamma=90.00
Fractional coordinates of all 8 atoms:
As  0.000  0.881  0.338
As  0.000  0.119  0.838
Ir  0.000  0.170  0.455
Ir  0.000  0.830  0.955
O  0.500  0.226  0.416
O  0.500  0.774  0.916
Tl  0.500  0.395  0.045
Tl  0.500  0.605  0.545

---

(13)
## TlAsIrO (PBE-GGA)

Data for an optimized crystal structure of TlAsIrO.

ΔE to the lowest computed polymorph	772	meV/atom

Unit cell a=4.172 b=4.172 c=8.470 alpha=90.00 beta=90.00 gamma=90.00
Fractional coordinates of all 8 atoms:
As  0.000  0.500  0.202
As  0.500  0.000  0.798
Ir  0.500  0.000  0.087
Ir  0.000  0.500  0.913
O  0.000  0.000  0.000
O  0.500  0.500  0.000
Tl  0.000  0.000  0.500
Tl  0.500  0.500  0.500

---

(14)
## TlAsIrO (PBE-GGA)

Data for an optimized crystal structure of TlAsIrO.

ΔE to the lowest computed polymorph	0	meV/atom

Unit cell a=3.702 b=8.166 c=5.464 alpha=90.00 beta=90.00 gamma=90.00
Fractional coordinates of all 8 atoms:
As  0.000  0.644  0.374
As  0.000  0.356  0.874
Ir  0.500  0.498  0.118
Ir  0.500  0.502  0.618
O  0.500  0.313  0.372
O  0.500  0.687  0.872
Tl  0.000  0.121  0.391
Tl  0.000  0.879  0.891

---

(15)
## TlAsIrO (PBE-GGA)

Data for an optimized crystal structure of TlAsIrO.

ΔE to the lowest computed polymorph	38	meV/atom

Unit cell a=4.066 b=4.066 c=9.242 alpha=90.00 beta=90.00 gamma=90.00
Fractional coordinates of all 8 atoms:
As  0.750  0.750  0.347
As  0.250  0.250  0.653
Ir  0.750  0.250  0.500
Ir  0.250  0.750  0.500
O  0.750  0.250  0.000
O  0.250  0.750  0.000
Tl  0.250  0.250  0.117
Tl  0.750  0.750  0.883

---

(16)
## TmAsIrO (PBE-GGA)

Data for an optimized crystal structure of TmAsIrO.

ΔE to the lowest computed polymorph	580	meV/atom

Unit cell a=3.325 b=7.889 c=5.342 alpha=90.00 beta=90.00 gamma=90.00
Fractional coordinates of all 8 atoms:
As  0.000  0.927  0.465
As  0.000  0.073  0.965
Ir  0.500  0.709  0.448
Ir  0.500  0.291  0.948
O  0.500  0.449  0.377
O  0.500  0.551  0.877
Tm  0.000  0.298  0.465
Tm  0.000  0.702  0.965

---

(17)
## TmAsIrO (PBE-GGA)

Data for an optimized crystal structure of TmAsIrO.

ΔE to the lowest computed polymorph	1567	meV/atom

Unit cell a=4.692 b=4.692 c=6.413 alpha=90.00 beta=90.00 gamma=90.00
Fractional coordinates of all 8 atoms:
As  0.000  0.500  0.084
As  0.500  0.000  0.916
Ir  0.500  0.000  0.287
Ir  0.000  0.500  0.713
O  0.000  0.000  0.000
O  0.500  0.500  0.000
Tm  0.000  0.000  0.500
Tm  0.500  0.500  0.500

---

(18)
## TmAsIrO (PBE-GGA)

Data for an optimized crystal structure of TmAsIrO.

ΔE to the lowest computed polymorph	574	meV/atom

Unit cell a=4.657 b=4.468 c=6.290 alpha=90.00 beta=90.00 gamma=90.00
Fractional coordinates of all 8 atoms:
As  0.000  0.349  0.287
As  0.000  0.651  0.787
Ir  0.000  0.851  0.431
Ir  0.000  0.149  0.931
O  0.500  0.826  0.439
O  0.500  0.174  0.939
Tm  0.500  0.732  0.098
Tm  0.500  0.268  0.598

---

(19)
## TmAsIrO (PBE-GGA)

Data for an optimized crystal structure of TmAsIrO.

ΔE to the lowest computed polymorph	0	meV/atom

Unit cell a=4.001 b=4.001 c=8.002 alpha=90.00 beta=90.00 gamma=90.00
Fractional coordinates of all 8 atoms:
As  0.750  0.750  0.319
As  0.250  0.250  0.681
Ir  0.750  0.250  0.500
Ir  0.250  0.750  0.500
O  0.750  0.250  0.000
O  0.250  0.750  0.000
Tm  0.250  0.250  0.127
Tm  0.750  0.750  0.873

---

(20)
## ZrAsIrO (PBE-GGA)

Data for an optimized crystal structure of ZrAsIrO.

ΔE to the lowest computed polymorph	426	meV/atom

Unit cell a=4.059 b=4.873 c=6.469 alpha=90.00 beta=90.00 gamma=90.00
Fractional coordinates of all 8 atoms:
As  0.000  0.700  0.300
As  0.000  0.300  0.800
Ir  0.000  0.171  0.424
Ir  0.000  0.829  0.924
O  0.500  0.246  0.425
O  0.500  0.754  0.925
Zr  0.500  0.379  0.105
Zr  0.500  0.621  0.605

---

(21)
## ZrAsIrO (PBE-GGA)

Data for an optimized crystal structure of ZrAsIrO.

ΔE to the lowest computed polymorph	519	meV/atom

Unit cell a=3.423 b=7.049 c=6.113 alpha=90.00 beta=90.00 gamma=90.00
Fractional coordinates of all 8 atoms:
As  0.000  0.818  0.355
As  0.000  0.182  0.855
Ir  0.500  0.329  0.076
Ir  0.500  0.671  0.576
O  0.500  0.373  0.431
O  0.500  0.627  0.931
Zr  0.000  0.203  0.392
Zr  0.000  0.797  0.892

---

(22)
## ZrAsIrO (PBE-GGA)

Data for an optimized crystal structure of ZrAsIrO.

ΔE to the lowest computed polymorph	472	meV/atom

Unit cell a=5.624 b=5.624 c=4.439 alpha=90.00 beta=90.00 gamma=90.00
Fractional coordinates of all 8 atoms:
As  0.000  0.500  0.000
As  0.500  0.000  0.000
Ir  0.500  0.000  0.500
Ir  0.000  0.500  0.500
O  0.000  0.000  0.000
O  0.500  0.500  0.000
Zr  0.000  0.000  0.500
Zr  0.500  0.500  0.500

---

(23)
## ZrAsIrO (PBE-GGA)

Data for an optimized crystal structure of ZrAsIrO.

ΔE to the lowest computed polymorph	1342	meV/atom

Unit cell a=4.268 b=4.268 c=6.597 alpha=90.00 beta=90.00 gamma=90.00
Fractional coordinates of all 8 atoms:
As  0.750  0.750  0.250
As  0.250  0.250  0.750
Ir  0.250  0.250  0.127
Ir  0.750  0.750  0.873
O  0.750  0.250  0.000
O  0.250  0.750  0.000
Zr  0.750  0.250  0.500
Zr  0.250  0.750  0.500

---

(24)
## ZrAsIrO (PBE-GGA)

Data for an optimized crystal structure of ZrAsIrO.

ΔE to the lowest computed polymorph	0	meV/atom

Unit cell a=3.938 b=3.938 c=7.578 alpha=90.00 beta=90.00 gamma=90.00
Fractional coordinates of all 8 atoms:
As  0.000  0.500  0.301
As  0.500  0.000  0.699
Ir  0.000  0.000  0.500
Ir  0.500  0.500  0.500
O  0.000  0.000  0.000
O  0.500  0.500  0.000
Zr  0.500  0.000  0.149
Zr  0.000  0.500  0.851

---

(25)
## AsIrOs (PBE-GGA)

Data for an optimized crystal structure of AsIrOs.

total DFT energy (no corrections)	-7.892	eV per atom

Unit cell a=4.086 b=4.086 c=4.086 alpha=60.00 beta=60.00 gamma=60.00
Fractional coordinates of all 3 atoms:
As  0.000  0.000  0.000
Ir  0.250  0.250  0.250
Os  0.750  0.750  0.750